Arrangement A

This record from Alexandria via LeMat-Bulk describes crystalline TbPmPrHg at its relaxed geometry. The functional is GGA-PBE. Values from VASP.

Cell and atoms, written as Quantum ESPRESSO input:
```
&SYSTEM
  ibrav = 0, nat = 4, ntyp = 4
/
ATOMIC_SPECIES
Tb 158.93 Tb.upf
Pm 145.00 Pm.upf
Pr 140.91 Pr.upf
Hg 200.59 Hg.upf
ATOMIC_POSITIONS crystal
Tb 0.000 0.000 0.000
Pm 0.750 0.750 0.750
Pr 0.250 0.250 0.250
Hg 0.500 0.500 0.500
CELL_PARAMETERS angstrom
0.000 3.914 3.914
3.914 0.000 3.914
3.914 3.914 0.000
```

Summary:
SG: F-43m

Arrangement B

This record from Alexandria via LeMat-Bulk describes crystalline TbPmPrHg at its relaxed geometry. The functional is GGA-PBE. Values from VASP.

Cell and atoms, written as Quantum ESPRESSO input:
```
&SYSTEM
  ibrav = 0, nat = 4, ntyp = 4
/
ATOMIC_SPECIES
Tb 158.93 Tb.upf
Pm 145.00 Pm.upf
Pr 140.91 Pr.upf
Hg 200.59 Hg.upf
ATOMIC_POSITIONS crystal
Tb 0.000 0.000 0.000
Pm 0.000 0.000 0.434
Pr 0.500 0.500 0.720
Hg 0.500 0.500 0.206
CELL_PARAMETERS angstrom
3.714 0.000 0.000
0.000 3.714 0.000
0.000 0.000 8.934
```

Summary:
SG: P4mm

Which structure is the least stable? The one labeled arrangement A.

Arrangement A

This record from Alexandria via LeMat-Bulk describes crystalline PmPrYHg at its relaxed geometry. The functional is GGA-PBE. Values from VASP.

Cell and atoms, written as Quantum ESPRESSO input:
```
&SYSTEM
  ibrav = 0, nat = 4, ntyp = 4
/
ATOMIC_SPECIES
Pm 145.00 Pm.upf
Pr 140.91 Pr.upf
Y 88.91 Y.upf
Hg 200.59 Hg.upf
ATOMIC_POSITIONS crystal
Pm 0.000 0.000 0.000
Pr 0.250 0.250 0.250
Y 0.750 0.750 0.750
Hg 0.500 0.500 0.500
CELL_PARAMETERS angstrom
0.000 3.907 3.907
3.907 0.000 3.907
3.907 3.907 0.000
```

Summary:
SG: F-43m

Arrangement B

This record from Alexandria via LeMat-Bulk describes crystalline PmPrYHg at its relaxed geometry. The functional is GGA-PBE. Values from VASP.

Cell and atoms, written as Quantum ESPRESSO input:
```
&SYSTEM
  ibrav = 0, nat = 4, ntyp = 4
/
ATOMIC_SPECIES
Pm 145.00 Pm.upf
Pr 140.91 Pr.upf
Y 88.91 Y.upf
Hg 200.59 Hg.upf
ATOMIC_POSITIONS crystal
Pm 0.000 0.000 0.000
Pr 0.500 0.500 0.286
Y 0.000 0.000 0.568
Hg 0.500 0.500 0.772
CELL_PARAMETERS angstrom
3.712 0.000 0.000
0.000 3.712 0.000
0.000 0.000 8.940
```

Summary:
SG: P4mm

Which structure is the least stable? The one labeled arrangement A.